A relaxed BeNiN2F crystal, computed with PBE+U.

CIF file:
```
data_BeNiN2F
_cell_length_a 3.695
_cell_length_b 3.695
_cell_length_c 3.862
_cell_angle_alpha 90.00
_cell_angle_beta 90.00
_cell_angle_gamma 90.00
_space_group_name_H-M_alt 'P 4/m m m'
_space_group_IT_number 123
_space_group_name_Hall '-P 4 2'
loop_
_atom_site_label
_atom_site_type_symbol
_atom_site_fract_x
_atom_site_fract_y
_atom_site_fract_z
Be1 Be 0.000 0.000 0.000
Ni1 Ni 0.500 0.500 0.500
N1 N 0.000 0.500 0.500
F1 F 0.500 0.500 0.000
```

Calculated values
* crystal system: tetragonal
* ΔE to the lowest computed polymorph: 510.8 meV/atom